<A>
Re2TeCl, PBEsol geometry, DFT meta-GGA SCAN; theoretical density = 13.60 g cm⁻³
1.0
4.138 -1.510 0.000
4.138 1.510 0.000
-1.107 0.000 5.230
Re Te Cl
2 1 1
Direct
0.250 0.250 0.217
0.750 0.750 0.783
0.000 0.000 0.500
0.500 0.500 0.000

<B>
Re2TeCl, PBEsol geometry, DFT meta-GGA SCAN; theoretical density = 13.14 g cm⁻³
1.0
2.938 0.000 0.000
0.000 4.453 0.000
0.000 0.000 5.173
Re Te Cl
2 1 1
Direct
0.000 0.000 0.000
0.500 0.000 0.500
0.000 0.500 0.500
0.500 0.500 0.000

<C>
Re2TeCl, PBEsol geometry, DFT meta-GGA SCAN; theoretical density = 13.11 g cm⁻³
1.0
1.450 -2.544 0.000
1.450 2.544 0.000
0.000 0.000 9.193
Re Te Cl
2 1 1
Direct
0.000 0.000 0.234
0.000 0.000 0.766
0.500 0.500 0.500
0.500 0.500 0.000

Stability, highest: <A>